[1]
# Mn2CrGe

A relaxed Mn2CrGe crystal (PBE-GGA, the Alexandria database).

## Properties
- Symmetry: P4/mmm (123)

Lattice parameters (Å, degrees): 2.9070 4.0148 4.0148 90.00 90.00 90.00
Site moments in Bohr magnetons follow the coordinates.
Element x y z (fractional)
1 Cr 0.5000 0.5000 0.5000  -1.06
2 Ge 0.5000 0.0000 0.0000  -0.02
3 Mn 0.0000 0.0000 0.5000  0.58
4 Mn 0.0000 0.5000 0.0000  0.58


[2]
# Cs3KLi

A relaxed Cs3KLi crystal (PBE-GGA, the Alexandria database).

## Properties
- Symmetry: Pm-3m (221)
- Relative energy among the computed polymorphs: 196 meV/atom

Lattice parameters (Å, degrees): 8.3173 8.3173 8.3173 90.00 90.00 90.00
Element x y z (fractional)
1 Cs 0.0000 0.5000 0.0000
2 Cs 0.0000 0.0000 0.5000
3 Cs 0.5000 0.0000 0.0000
4 K 0.0000 0.0000 0.0000
5 Li 0.5000 0.5000 0.5000


no.,formation energy (eV per formula unit)
1,0.0
2,1.7